(1)
Here is a PBEsol-optimized structure of InH3O3 from Alexandria. Energies are from SCAN. Values from VASP.

Quantum ESPRESSO input file:
```
&SYSTEM
  ibrav = 0, nat = 28, ntyp = 3
/
ATOMIC_SPECIES
In 114.82 In.upf
H 1.01 H.upf
O 16.00 O.upf
ATOMIC_POSITIONS crystal
In 0.0000 0.0000 0.0000
In 0.0000 0.5000 0.5000
In 0.5000 0.0000 0.5000
In 0.5000 0.5000 0.0000
H 0.0411 0.8702 0.3271
H 0.1298 0.6729 0.9589
H 0.1825 0.2182 0.5368
H 0.2182 0.5368 0.1825
H 0.3271 0.0411 0.8702
H 0.4632 0.8175 0.7818
H 0.5368 0.1825 0.2182
H 0.6729 0.9589 0.1298
H 0.7818 0.4632 0.8175
H 0.8175 0.7818 0.4632
H 0.8702 0.3271 0.0411
H 0.9589 0.1298 0.6729
O 0.0081 0.3367 0.1693
O 0.1693 0.0081 0.3367
O 0.1741 0.3402 0.6655
O 0.3345 0.8259 0.6598
O 0.3367 0.1693 0.0081
O 0.3402 0.6655 0.1741
O 0.6598 0.3345 0.8259
O 0.6633 0.8307 0.9919
O 0.6655 0.1741 0.3402
O 0.8259 0.6598 0.3345
O 0.8307 0.9919 0.6633
O 0.9919 0.6633 0.8307
CELL_PARAMETERS angstrom
5.5673 3.2143 2.2936
-5.5673 3.2143 2.2936
0.0000 -6.4286 2.2936
```

space-group type	R-3 (148)

(2)
Here is a PBEsol-optimized structure of InH3O3 from Alexandria. Energies are from SCAN. Values from VASP.

Quantum ESPRESSO input file:
```
&SYSTEM
  ibrav = 0, nat = 28, ntyp = 3
/
ATOMIC_SPECIES
In 114.82 In.upf
H 1.01 H.upf
O 16.00 O.upf
ATOMIC_POSITIONS crystal
In 0.0000 0.0000 0.0000
In 0.0064 0.5017 0.5152
In 0.5073 0.5038 0.0141
In 0.5221 0.0013 0.5189
H 0.1140 0.8267 0.4251
H 0.1843 0.4571 0.1444
H 0.3033 0.8417 0.9768
H 0.3046 0.2623 0.4709
H 0.3674 0.0456 0.8363
H 0.4701 0.6348 0.6805
H 0.6550 0.9686 0.1956
H 0.7018 0.6769 0.4910
H 0.7179 0.1780 0.0572
H 0.8229 0.5082 0.8355
H 0.9714 0.6550 0.1305
H 0.9751 0.3224 0.7967
O 0.1627 0.7064 0.3704
O 0.1736 0.3363 0.0062
O 0.1773 0.8451 0.8436
O 0.2748 0.1082 0.3470
O 0.3434 0.5016 0.6757
O 0.4988 0.1727 0.8441
O 0.5192 0.8428 0.1839
O 0.6754 0.8323 0.6783
O 0.7267 0.5707 0.3599
O 0.8372 0.6414 0.9857
O 0.8418 0.3280 0.6697
O 0.8453 0.1721 0.1867
CELL_PARAMETERS angstrom
6.8347 0.0000 0.0000
-2.0288 6.5579 0.0000
-2.4645 -3.2006 5.5611
```

space-group type	P1 (1)

The structure with the least stability is (2).

(1)
Here is a PBEsol-optimized structure of InHPt2 from Alexandria. Energies are from SCAN. Values from VASP.

Quantum ESPRESSO input file:
```
&SYSTEM
  ibrav = 0, nat = 8, ntyp = 3
/
ATOMIC_SPECIES
In 114.82 In.upf
H 1.01 H.upf
Pt 195.08 Pt.upf
ATOMIC_POSITIONS crystal
In 0.0000 0.0000 0.0000
In 0.7500 0.2500 0.5000
H 0.2500 0.7500 0.5000
H 0.5000 0.5000 0.0000
Pt 0.2327 0.6250 0.1077
Pt 0.3750 0.4827 0.6077
Pt 0.5173 0.1250 0.8923
Pt 0.8750 0.7673 0.3923
CELL_PARAMETERS angstrom
-3.1075 3.1075 2.7764
3.1075 -3.1075 2.7764
3.1075 3.1075 -2.7764
```

space-group type	I-42d (122)

(2)
Here is a PBEsol-optimized structure of InHPt2 from Alexandria. Energies are from SCAN. Values from VASP.

Quantum ESPRESSO input file:
```
&SYSTEM
  ibrav = 0, nat = 4, ntyp = 3
/
ATOMIC_SPECIES
In 114.82 In.upf
H 1.01 H.upf
Pt 195.08 Pt.upf
ATOMIC_POSITIONS crystal
In 0.0000 0.0000 0.0000
H 0.5000 0.5000 0.5000
Pt 0.2500 0.2500 0.2500
Pt 0.7500 0.7500 0.7500
CELL_PARAMETERS angstrom
0.0000 3.0599 3.0599
3.0599 0.0000 3.0599
3.0599 3.0599 0.0000
```

space-group type	Fm-3m (225)

The structure with the least stability is (2).

(1)
Here is a PBEsol-optimized structure of ScInH2 from Alexandria. Energies are from SCAN. Values from VASP.

Quantum ESPRESSO input file:
```
&SYSTEM
  ibrav = 0, nat = 4, ntyp = 3
/
ATOMIC_SPECIES
Sc 44.96 Sc.upf
In 114.82 In.upf
H 1.01 H.upf
ATOMIC_POSITIONS crystal
Sc 0.0000 0.0000 0.0000
In 0.5000 0.5000 0.5000
H 0.2500 0.2500 0.2500
H 0.7500 0.7500 0.7500
CELL_PARAMETERS angstrom
0.0000 2.8756 2.8756
2.8756 0.0000 2.8756
2.8756 2.8756 0.0000
```

space-group type	Fm-3m (225)

(2)
Here is a PBEsol-optimized structure of ScInH2 from Alexandria. Energies are from SCAN. Values from VASP.

Quantum ESPRESSO input file:
```
&SYSTEM
  ibrav = 0, nat = 8, ntyp = 3
/
ATOMIC_SPECIES
Sc 44.96 Sc.upf
In 114.82 In.upf
H 1.01 H.upf
ATOMIC_POSITIONS crystal
Sc 0.0000 0.0000 0.0000
Sc 0.7500 0.2500 0.5000
In 0.2500 0.7500 0.5000
In 0.5000 0.5000 0.0000
H 0.0396 0.6250 0.9146
H 0.3750 0.2896 0.4146
H 0.7104 0.1250 0.0854
H 0.8750 0.9604 0.5854
CELL_PARAMETERS angstrom
-2.2831 2.2831 5.0998
2.2831 -2.2831 5.0998
2.2831 2.2831 -5.0998
```

space-group type	I-42d (122)

The structure with the least stability is (1).

(1)
Here is a PBEsol-optimized structure of InHSe2 from Alexandria. Energies are from SCAN. Values from VASP.

Quantum ESPRESSO input file:
```
&SYSTEM
  ibrav = 0, nat = 4, ntyp = 3
/
ATOMIC_SPECIES
In 114.82 In.upf
H 1.01 H.upf
Se 78.96 Se.upf
ATOMIC_POSITIONS crystal
In 0.0000 0.0000 0.0000
H 0.5000 0.5000 0.5000
Se 0.4085 0.4085 0.4085
Se 0.5915 0.5915 0.5915
CELL_PARAMETERS angstrom
2.0236 1.1683 6.4018
-2.0236 1.1683 6.4018
0.0000 -2.3367 6.4018
```

space-group type	R-3m (166)

(2)
Here is a PBEsol-optimized structure of InHSe2 from Alexandria. Energies are from SCAN. Values from VASP.

Quantum ESPRESSO input file:
```
&SYSTEM
  ibrav = 0, nat = 8, ntyp = 3
/
ATOMIC_SPECIES
In 114.82 In.upf
H 1.01 H.upf
Se 78.96 Se.upf
ATOMIC_POSITIONS crystal
In 0.0000 0.0000 0.0000
In 0.7500 0.2500 0.5000
H 0.2500 0.7500 0.5000
H 0.5000 0.5000 0.0000
Se 0.1924 0.6250 0.0674
Se 0.3750 0.4424 0.5674
Se 0.5576 0.1250 0.9326
Se 0.8750 0.8076 0.4326
CELL_PARAMETERS angstrom
-2.7429 2.7429 5.4436
2.7429 -2.7429 5.4436
2.7429 2.7429 -5.4436
```

space-group type	I-42d (122)

(3)
Here is a PBEsol-optimized structure of InHSe2 from Alexandria. Energies are from SCAN. Values from VASP.

Quantum ESPRESSO input file:
```
&SYSTEM
  ibrav = 0, nat = 8, ntyp = 3
/
ATOMIC_SPECIES
In 114.82 In.upf
H 1.01 H.upf
Se 78.96 Se.upf
ATOMIC_POSITIONS crystal
In 0.0000 0.2413 0.0000
In 0.0000 0.7587 0.5000
H 0.3678 0.4532 0.1904
H 0.3678 0.5468 0.6904
Se 0.3701 0.2134 0.0215
Se 0.3701 0.7866 0.5215
Se 0.8159 0.2564 0.3316
Se 0.8159 0.7436 0.8316
CELL_PARAMETERS angstrom
6.8096 0.0000 0.0000
0.0000 4.0424 0.0000
-0.1721 0.0000 6.8565
```

space-group type	Pc (7)

The structure with the least stability is (2).